Computed, not measured: an optimized crystal structure of Na2Gd2MgSi4O12F2 at the PBE-GGA level of DFT.

Results
crystal system	monoclinic
ΔE_f (raw)	-2.9937	eV/atom
DOS at the Fermi energy	0.0	states/eV/f.u.
density	4.19	g/cm3

```
data_Na2Gd2MgSi4O12F2
_cell_length_a 5.2293
_cell_length_b 7.6037
_cell_length_c 14.4853
_cell_angle_alpha 90.00
_cell_angle_beta 90.08
_cell_angle_gamma 90.00
_symmetry_space_group_name_H-M 'P 1'
_symmetry_Int_Tables_number 1
loop_
_symmetry_equiv_pos_as_xyz
'x,y,z'
loop_
_atom_site_label
_atom_site_type_symbol
_atom_site_fract_x
_atom_site_fract_y
_atom_site_fract_z
_atom_site_occupancy
Na1 Na 0.9999 0.0370 0.2123 1
Na2 Na 0.9999 0.4630 0.7123 1
Na3 Na 0.0001 0.5370 0.2877 1
Na4 Na 0.0001 0.9630 0.7877 1
Gd1 Gd 0.0178 0.2285 0.4582 1
Gd2 Gd 0.0178 0.2715 0.9582 1
Gd3 Gd 0.9822 0.7285 0.0418 1
Gd4 Gd 0.9822 0.7715 0.5418 1
Mg1 Mg 0.5000 0.0000 0.0000 1
Mg2 Mg 0.5000 0.5000 0.5000 1
Si1 Si 0.4617 0.6296 0.8847 1
Si2 Si 0.4617 0.8704 0.3847 1
Si3 Si 0.4753 0.7385 0.1852 1
Si4 Si 0.4753 0.7615 0.6852 1
Si5 Si 0.5247 0.2385 0.3148 1
Si6 Si 0.5247 0.2615 0.8148 1
Si7 Si 0.5383 0.1296 0.6153 1
Si8 Si 0.5383 0.3704 0.1153 1
O1 O 0.2125 0.5579 0.9415 1
O2 O 0.2125 0.9421 0.4415 1
O3 O 0.2157 0.2415 0.3150 1
O4 O 0.2157 0.2585 0.8150 1
O5 O 0.3319 0.6300 0.6132 1
O6 O 0.3319 0.8700 0.1132 1
O7 O 0.3532 0.7285 0.7895 1
O8 O 0.3532 0.7715 0.2895 1
O9 O 0.3614 0.2380 0.0546 1
O10 O 0.3614 0.2620 0.5546 1
O11 O 0.3612 0.5390 0.1542 1
O12 O 0.3612 0.9610 0.6542 1
O13 O 0.6388 0.0390 0.3458 1
O14 O 0.6388 0.4610 0.8458 1
O15 O 0.6386 0.7380 0.4454 1
O16 O 0.6386 0.7620 0.9454 1
O17 O 0.6468 0.2285 0.7105 1
O18 O 0.6468 0.2715 0.2105 1
O19 O 0.6681 0.1300 0.8868 1
O20 O 0.6681 0.3700 0.3868 1
O21 O 0.7843 0.7415 0.1850 1
O22 O 0.7843 0.7585 0.6850 1
O23 O 0.7875 0.0579 0.5585 1
O24 O 0.7875 0.4421 0.0585 1
F1 F 0.1635 0.5376 0.4383 1
F2 F 0.1635 0.9624 0.9383 1
F3 F 0.8365 0.0376 0.0617 1
F4 F 0.8365 0.4624 0.5617 1
```